The following is a PBEsol calculation of a geometry-optimized K2TcRu structure, from Alexandria via LeMat-Bulk.

Lattice parameters (Å, degrees): 3.186 3.186 10.490 90.00 90.00 90.00
Fractional positions:
1 K 0.000 0.000 0.000
2 K 0.500 0.500 0.412
3 Tc 0.500 0.500 0.752
4 Ru 0.000 0.000 0.655

Summary:
**Energy relative to the lowest polymorph listed for this composition**: 0.000 eV per atom
**Formation energy from the elements**: 0.7872 eV/atom
**Energy**: -5.139 eV per atom

=====

The following is a PBEsol calculation of a geometry-optimized Ba2LaCd structure, from Alexandria via LeMat-Bulk.

Lattice parameters (Å, degrees): 6.676 6.676 6.676 134.78 134.78 65.87
Fractional positions:
1 Ba 0.250 0.750 0.500
2 Ba 0.750 0.250 0.500
3 La 0.000 0.000 0.000
4 Cd 0.500 0.500 0.000

Summary:
**Energy relative to the lowest polymorph listed for this composition**: 0.162 eV per atom
**Formation energy from the elements**: 0.0641 eV/atom
**Energy**: -2.646 eV per atom

=====

The following is a PBEsol calculation of a geometry-optimized Cd5Pt3 structure, from Alexandria via LeMat-Bulk.

Lattice parameters (Å, degrees): 5.764 5.764 4.172 90.00 90.00 91.83
Fractional positions:
1 Cd 0.000 0.000 0.000
2 Cd 0.000 0.500 0.000
3 Cd 0.268 0.268 0.500
4 Cd 0.500 0.000 0.000
5 Cd 0.732 0.732 0.500
6 Pt 0.240 0.760 0.500
7 Pt 0.500 0.500 0.000
8 Pt 0.760 0.240 0.500

Summary:
**Energy relative to the lowest polymorph listed for this composition**: 0.000 eV per atom
**Formation energy from the elements**: -0.2357 eV/atom
**Energy**: -3.595 eV per atom

=====

The following is a PBEsol calculation of a geometry-optimized AlP2W structure, from Alexandria via LeMat-Bulk.

Lattice parameters (Å, degrees): 6.855 6.855 6.855 27.40 27.40 27.40
Fractional positions:
1 Al 0.000 0.000 0.000
2 P 0.249 0.249 0.249
3 P 0.751 0.751 0.751
4 W 0.500 0.500 0.500

Summary:
**Formation energy from the elements**: -0.1670 eV/atom
**Energy**: -7.537 eV per atom

=====

The following is a PBEsol calculation of a geometry-optimized Ca2H6Os structure, from Alexandria via LeMat-Bulk.

Lattice parameters (Å, degrees): 5.031 5.031 5.031 60.00 60.00 60.00
Fractional positions:
1 Ca 0.250 0.250 0.250
2 Ca 0.750 0.750 0.750
3 H 0.242 0.242 0.758
4 H 0.242 0.758 0.242
5 H 0.242 0.758 0.758
6 H 0.758 0.242 0.242
7 H 0.758 0.242 0.758
8 H 0.758 0.758 0.242
9 Os 0.000 0.000 0.000

Summary:
**Energy**: -4.663 eV per atom

=====

The following is a PBEsol calculation of a geometry-optimized Dy3Zr structure, from Alexandria via LeMat-Bulk.

Lattice parameters (Å, degrees): 5.832 5.832 5.832 131.67 131.67 70.75
Fractional positions:
1 Dy 0.000 0.000 0.000
2 Dy 0.250 0.750 0.500
3 Dy 0.750 0.250 0.500
4 Zr 0.500 0.500 0.000

Summary:
**Energy relative to the lowest polymorph listed for this composition**: 0.000 eV per atom
**Formation energy from the elements**: 0.0867 eV/atom
**Energy**: -5.920 eV per atom

=====

The following is a PBEsol calculation of a geometry-optimized Be2IBr structure, from Alexandria via LeMat-Bulk.

Lattice parameters (Å, degrees): 4.703 4.703 4.703 60.00 60.00 60.00
Fractional positions:
1 Be 0.250 0.250 0.250
2 Be 0.750 0.750 0.750
3 I 0.000 0.000 0.000
4 Br 0.500 0.500 0.500

Summary:
**Energy**: -2.159 eV per atom

=====

The following is a PBEsol calculation of a geometry-optimized Cd2CoPb structure, from Alexandria via LeMat-Bulk.

Lattice parameters (Å, degrees): 5.422 5.422 5.422 136.11 136.11 63.81
Fractional positions:
1 Cd 0.250 0.750 0.500
2 Cd 0.750 0.250 0.500
3 Co 0.000 0.000 0.000
4 Pb 0.500 0.500 0.000

Summary:
**Formation energy from the elements**: 0.3728 eV/atom
**Energy**: -3.160 eV per atom

=====

The following is a PBEsol calculation of a geometry-optimized SrNi2Sb structure, from Alexandria via LeMat-Bulk.

Lattice parameters (Å, degrees): 5.604 5.604 5.604 146.25 128.74 62.79
Fractional positions:
1 Sr 0.000 0.000 0.000
2 Ni 0.301 0.801 0.500
3 Ni 0.492 0.492 0.000
4 Sb 0.711 0.211 0.500

Summary:
**Energy**: -4.625 eV per atom

=====

The following is a PBEsol calculation of a geometry-optimized Zn3Tc4 structure, from Alexandria via LeMat-Bulk.

Lattice parameters (Å, degrees): 11.167 11.167 11.167 164.71 164.71 21.69
Fractional positions:
1 Zn 0.000 0.000 0.000
2 Zn 0.285 0.285 0.000
3 Zn 0.715 0.715 0.000
4 Tc 0.138 0.138 0.000
5 Tc 0.426 0.426 0.000
6 Tc 0.574 0.574 0.000
7 Tc 0.862 0.862 0.000

Summary:
**Formation energy from the elements**: -0.0311 eV/atom
**Energy**: -7.147 eV per atom

=====

The following is a PBEsol calculation of a geometry-optimized KBa3 structure, from Alexandria via LeMat-Bulk.

Lattice parameters (Å, degrees): 14.994 14.994 14.994 16.82 16.82 16.82
Fractional positions:
1 K 0.000 0.000 0.000
2 Ba 0.247 0.247 0.247
3 Ba 0.500 0.500 0.500
4 Ba 0.753 0.753 0.753

Summary:
**Energy relative to the lowest polymorph listed for this composition**: 0.007 eV per atom
**Formation energy from the elements**: 0.0601 eV/atom
**Energy**: -1.835 eV per atom

=====

The following is a PBEsol calculation of a geometry-optimized Sc4SiMo structure, from Alexandria via LeMat-Bulk.

Lattice parameters (Å, degrees): 5.423 5.423 5.423 60.00 60.00 60.00
Fractional positions:
1 Sc 0.123 0.123 0.123
2 Sc 0.123 0.123 0.630
3 Sc 0.123 0.630 0.123
4 Sc 0.630 0.123 0.123
5 Si 0.500 0.500 0.500
6 Mo 0.750 0.750 0.750

Summary:
**Energy**: -6.820 eV per atom

=====

The following is a PBEsol calculation of a geometry-optimized KCdHg2 structure, from Alexandria via LeMat-Bulk.

Lattice parameters (Å, degrees): 5.297 5.297 5.297 60.00 60.00 60.00
Fractional positions:
1 K 0.000 0.000 0.000
2 Cd 0.250 0.250 0.250
3 Hg 0.500 0.500 0.500
4 Hg 0.750 0.750 0.750

Summary:
**Formation energy from the elements**: -0.0822 eV/atom
**Energy**: -0.948 eV per atom

=====

The following is a PBEsol calculation of a geometry-optimized SiSnP2 structure, from Alexandria via LeMat-Bulk.

Lattice parameters (Å, degrees): 6.010 6.010 6.010 113.69 113.69 101.32
Fractional positions:
1 Si 0.000 0.000 0.000
2 Si 0.750 0.250 0.500
3 Sn 0.250 0.750 0.500
4 Sn 0.500 0.500 0.000
5 P 0.058 0.625 0.933
6 P 0.375 0.308 0.433
7 P 0.692 0.125 0.067
8 P 0.875 0.942 0.567

Summary:
**Energy**: -5.361 eV per atom

=====

The following is a PBEsol calculation of a geometry-optimized TlNi2Se2 structure, from Alexandria via LeMat-Bulk.

Lattice parameters (Å, degrees): 7.075 7.075 7.075 148.80 148.80 44.71
Fractional positions:
1 Tl 0.000 0.000 0.000
2 Ni 0.250 0.750 0.500
3 Ni 0.750 0.250 0.500
4 Se 0.354 0.354 0.000
5 Se 0.646 0.646 0.000

Summary:
**Energy**: -4.798 eV per atom

=====

The following is a PBEsol calculation of a geometry-optimized AgHg2Br structure, from Alexandria via LeMat-Bulk.

Lattice parameters (Å, degrees): 6.698 6.698 6.698 99.54 99.54 131.96
Fractional positions:
1 Ag 0.000 0.000 0.000
2 Ag 0.750 0.250 0.500
3 Hg 0.076 0.625 0.951
4 Hg 0.375 0.326 0.451
5 Hg 0.674 0.125 0.049
6 Hg 0.875 0.924 0.549
7 Br 0.250 0.750 0.500
8 Br 0.500 0.500 0.000

Summary:
**Energy relative to the lowest polymorph listed for this composition**: 0.045 eV per atom
**Energy**: -1.630 eV per atom

=====

The following is a PBEsol calculation of a geometry-optimized AlFe3 structure, from Alexandria via LeMat-Bulk.

Lattice parameters (Å, degrees): 4.429 4.429 4.429 90.00 90.00 90.00
Fractional positions:
1 Al 0.000 0.000 0.000
2 Fe 0.000 0.000 0.500
3 Fe 0.000 0.500 0.000
4 Fe 0.500 0.000 0.000

Summary:
**Formation energy from the elements**: 2.0542 eV/atom
**Energy**: -5.691 eV per atom

=====

The following is a PBEsol calculation of a geometry-optimized Al2ZnP structure, from Alexandria via LeMat-Bulk.

Lattice parameters (Å, degrees): 4.820 4.820 4.820 137.63 122.10 74.32
Fractional positions:
1 Al 0.235 0.235 0.000
2 Al 0.765 0.765 0.000
3 Zn 0.500 0.000 0.500
4 P 0.000 0.500 0.500

Summary:
**Energy relative to the lowest polymorph listed for this composition**: 0.038 eV per atom
**Formation energy from the elements**: 0.0930 eV/atom
**Energy**: -3.796 eV per atom

=====

The following is a PBEsol calculation of a geometry-optimized Tl2Te structure, from Alexandria via LeMat-Bulk.

Lattice parameters (Å, degrees): 6.745 6.745 8.086 118.50 118.50 36.70
Fractional positions:
1 Tl 0.142 0.142 0.028
2 Tl 0.151 0.151 0.609
3 Tl 0.849 0.849 0.391
4 Tl 0.858 0.858 0.972
5 Te 0.439 0.439 0.723
6 Te 0.561 0.561 0.277

Summary:
**Energy relative to the lowest polymorph listed for this composition**: 0.052 eV per atom
**Energy**: -3.124 eV per atom

=====

The following is a PBEsol calculation of a geometry-optimized Er2Ga9Ru3 structure, from Alexandria via LeMat-Bulk.

Lattice parameters (Å, degrees): 7.337 7.337 9.527 90.00 90.00 61.18
Fractional positions:
1 Er 0.002 0.677 0.750
2 Er 0.323 0.998 0.750
3 Er 0.677 0.002 0.250
4 Er 0.998 0.323 0.250
5 Ga 0.010 0.661 0.079
6 Ga 0.010 0.661 0.421
7 Ga 0.133 0.867 0.250
8 Ga 0.337 0.663 0.563
9 Ga 0.337 0.663 0.937
10 Ga 0.339 0.990 0.079
11 Ga 0.339 0.990 0.421
12 Ga 0.341 0.443 0.250
13 Ga 0.443 0.341 0.750
14 Ga 0.557 0.659 0.250
15 Ga 0.659 0.557 0.750
16 Ga 0.661 0.010 0.579
17 Ga 0.661 0.010 0.921
18 Ga 0.663 0.337 0.063
19 Ga 0.663 0.337 0.437
20 Ga 0.867 0.133 0.750
21 Ga 0.990 0.339 0.579
22 Ga 0.990 0.339 0.921
23 Ru 0.000 0.000 0.000
24 Ru 0.000 0.000 0.500
25 Ru 0.323 0.323 0.000
26 Ru 0.323 0.323 0.500
27 Ru 0.677 0.677 0.000
28 Ru 0.677 0.677 0.500

Summary:
**Formation energy from the elements**: -0.5629 eV/atom
**Energy**: -5.594 eV per atom